[1]
Density functional theory data (GGA-PBE) for a relaxed structure of PbSe2O6.

Computed properties:
Formation energy (no corrections) ... -0.71 eV per atom
D(E_F) ... 6.4 states/eV per cell
E above lowest polymorph ... 0.664 eV per formula unit
V ... 175 Å³/f.u.

Cell lengths 7.5089, 7.5089, 7.0167 Å; angles 109.78, 109.78, 82.62 degrees
Atoms (fractional coordinates):
1 Pb 0.1224 0.8776 0.7500
2 Pb 0.8776 0.1224 0.2500
3 Se 0.2491 0.3664 0.7720
4 Se 0.3664 0.2491 0.2720
5 Se 0.6336 0.7509 0.7280
6 Se 0.7509 0.6336 0.2280
7 O 0.0899 0.1874 0.6446
8 O 0.1247 0.5689 0.8177
9 O 0.1874 0.0899 0.1446
10 O 0.3339 0.3849 0.5161
11 O 0.3849 0.3339 0.0161
12 O 0.4311 0.8753 0.6823
13 O 0.5689 0.1247 0.3177
14 O 0.6151 0.6661 0.9839
15 O 0.6661 0.6151 0.4839
16 O 0.8126 0.9101 0.8554
17 O 0.8753 0.4311 0.1823
18 O 0.9101 0.8126 0.3554

[2]
Density functional theory data (GGA-PBE) for a relaxed structure of PbSeO2.

Computed properties:
Formation energy (no corrections) ... 0.19 eV per atom
D(E_F) ... 3.4 states/eV per cell
E above lowest polymorph ... 2.796 eV per formula unit
V ... 60 Å³/f.u.

Cell lengths 4.3990, 4.3990, 4.3990 Å; angles 60.00, 60.00, 60.00 degrees
Atoms (fractional coordinates):
1 Pb 0.0000 0.0000 0.0000
2 Se 0.5000 0.5000 0.5000
3 O 0.2500 0.2500 0.2500
4 O 0.7500 0.7500 0.7500

[3]
Density functional theory data (GGA-PBE) for a relaxed structure of Pb2SeO5.

Computed properties:
Formation energy (no corrections) ... -0.92 eV per atom
D(E_F) ... 0.0 states/eV per cell
V ... 142 Å³/f.u.

Cell lengths 5.8782, 5.8782, 5.8782 Å; angles 120.54, 120.54, 89.07 degrees
Atoms (fractional coordinates):
1 Pb 0.0000 0.5000 0.5000
2 Pb 0.5000 0.0000 0.5000
3 Se 0.2940 0.2940 0.0000
4 O 0.0929 0.0929 0.0000
5 O 0.1357 0.1357 0.5759
6 O 0.1357 0.5599 0.0000
7 O 0.5599 0.1357 0.0000
8 O 0.5599 0.5599 0.4241

[4]
Density functional theory data (GGA-PBE) for a relaxed structure of PbSeO3.

Computed properties:
Formation energy (no corrections) ... -1.05 eV per atom
D(E_F) ... 0.0 states/eV per cell
V ... 89 Å³/f.u.

Cell lengths 6.9591, 7.3714, 8.4032 Å; angles 90.00, 124.58, 90.00 degrees
Atoms (fractional coordinates):
1 Pb 0.1498 0.1157 0.3740
2 Pb 0.1498 0.3843 0.8740
3 Pb 0.8502 0.6157 0.1260
4 Pb 0.8502 0.8843 0.6260
5 Se 0.3431 0.6678 0.5863
6 Se 0.3431 0.8322 0.0863
7 Se 0.6569 0.1678 0.9137
8 Se 0.6569 0.3322 0.4137
9 O 0.1078 0.6782 0.9943
10 O 0.1078 0.8218 0.4943
11 O 0.2031 0.0038 0.9185
12 O 0.2031 0.4962 0.4185
13 O 0.3810 0.5838 0.7935
14 O 0.3810 0.9162 0.2935
15 O 0.6190 0.0838 0.7065
16 O 0.6190 0.4162 0.2065
17 O 0.7969 0.5038 0.5815
18 O 0.7969 0.9962 0.0815
19 O 0.8922 0.1782 0.5057
20 O 0.8922 0.3218 0.0057

[5]
Density functional theory data (GGA-PBE) for a relaxed structure of PbSeO2.

Computed properties:
Formation energy (no corrections) ... -0.26 eV per atom
D(E_F) ... 1.0 states/eV per cell
E above lowest polymorph ... 0.996 eV per formula unit
V ... 74 Å³/f.u.

Cell lengths 7.3650, 7.3650, 7.3650 Å; angles 142.45, 142.45, 54.15 degrees
Atoms (fractional coordinates):
1 Pb 0.0000 0.0000 0.0000
2 Pb 0.7500 0.2500 0.5000
3 Se 0.2500 0.7500 0.5000
4 Se 0.5000 0.5000 0.0000
5 O 0.1923 0.6250 0.0673
6 O 0.3750 0.4423 0.5673
7 O 0.5577 0.1250 0.9327
8 O 0.8750 0.8077 0.4327

[6]
Density functional theory data (GGA-PBE) for a relaxed structure of PbSeO3.

Computed properties:
Formation energy (no corrections) ... -0.62 eV per atom
D(E_F) ... 0.7 states/eV per cell
V ... 70 Å³/f.u.

Cell lengths 3.2335, 7.9179, 5.6904 Å; angles 90.00, 106.49, 90.00 degrees
Atoms (fractional coordinates):
1 Pb 0.2321 0.2500 0.4653
2 Pb 0.7679 0.7500 0.5347
3 Se 0.5000 0.0000 0.0000
4 Se 0.5000 0.5000 0.0000
5 O 0.1228 0.5390 0.2461
6 O 0.1228 0.9610 0.2461
7 O 0.4412 0.7500 0.8820
8 O 0.5588 0.2500 0.1180
9 O 0.8772 0.0390 0.7539
10 O 0.8772 0.4610 0.7539

[7]
Density functional theory data (GGA-PBE) for a relaxed structure of PbSe2O6.

Computed properties:
Formation energy (no corrections) ... -0.78 eV per atom
E above lowest polymorph ... 0.000 eV per formula unit
V ... 155 Å³/f.u.

Cell lengths 5.0038, 8.9975, 7.3709 Å; angles 90.00, 110.60, 90.00 degrees
Atoms (fractional coordinates):
1 Pb 0.0000 0.0000 0.0000
2 Pb 0.0000 0.5000 0.5000
3 Se 0.3669 0.1608 0.6981
4 Se 0.3669 0.3392 0.1981
5 Se 0.6331 0.6608 0.8019
6 Se 0.6331 0.8392 0.3019
7 O 0.0935 0.0662 0.7393
8 O 0.0935 0.4338 0.2393
9 O 0.2832 0.1537 0.2189
10 O 0.2832 0.3463 0.7189
11 O 0.3571 0.6606 0.5766
12 O 0.3571 0.8394 0.0766
13 O 0.6429 0.1606 0.9234
14 O 0.6429 0.3394 0.4234
15 O 0.7168 0.6537 0.2811
16 O 0.7168 0.8463 0.7811
17 O 0.9065 0.5662 0.7607
18 O 0.9065 0.9338 0.2607

[8]
Density functional theory data (GGA-PBE) for a relaxed structure of Pb2SeO.

Computed properties:
Formation energy (no corrections) ... -0.28 eV per atom
D(E_F) ... 0.7 states/eV per cell
E above lowest polymorph ... 2.045 eV per formula unit
V ... 89 Å³/f.u.

Cell lengths 5.0155, 5.0155, 5.0155 Å; angles 60.00, 60.00, 60.00 degrees
Atoms (fractional coordinates):
1 Pb 0.2500 0.2500 0.2500
2 Pb 0.7500 0.7500 0.7500
3 Se 0.0000 0.0000 0.0000
4 O 0.5000 0.5000 0.5000

For the records above, the corresponding final energy values read -46.81, -16.33, -43.04, -27.31, -18.13, -25.16, -47.47, -16.98 eV per formula unit.